1.
Compound: DyY3Se6
Source: Alexandria
Functional: GGA-PBE
Structure: relaxed

Cell lengths 8.403, 8.403, 8.403 Å; angles 90.86, 90.86, 90.86 degrees
Atoms (fractional coordinates):
Y 0.079 0.245 0.570
Y 0.245 0.570 0.079
Y 0.755 0.430 0.921
Y 0.921 0.755 0.430
Y 0.570 0.079 0.245
Y 0.430 0.921 0.755
Dy 0.000 0.000 0.000
Dy 0.500 0.500 0.500
Se 0.685 0.089 0.915
Se 0.315 0.911 0.085
Se 0.911 0.085 0.315
Se 0.820 0.462 0.593
Se 0.089 0.915 0.685
Se 0.593 0.820 0.462
Se 0.915 0.685 0.089
Se 0.462 0.593 0.820
Se 0.407 0.180 0.538
Se 0.180 0.538 0.407
Se 0.538 0.407 0.180
Se 0.085 0.315 0.911

Results
Density of states at the Fermi level (states/eV/cell): 0.00
E_tot (eV/atom): -6.34
Space-group type: R-3 (148)
Energy above the most stable polymorph in this dataset (eV/atom): 0.019
Formation energy without anion corrections (eV/atom): -1.852
Theoretical density (Mg/m³): 5.1

---

2.
Compound: RbFeP2
Source: Alexandria
Functional: GGA-PBE
Structure: relaxed

Cell lengths 5.636, 5.636, 7.406 Å; angles 67.64, 67.64, 90.00 degrees
Atoms (fractional coordinates):
Fe 0.500 0.500 0.000
Fe 0.250 0.750 0.500
P 0.875 0.625 0.750
P 0.375 0.625 0.750
P 0.375 0.625 0.250
P 0.375 0.125 0.250
Rb 0.000 0.000 0.000
Rb 0.750 0.250 0.500

Results
Density of states at the Fermi level (states/eV/cell): 2.01
E_tot (eV/atom): -5.27
Space-group type: I4_1/amd (141)
Energy above the most stable polymorph in this dataset (eV/atom): 0.000
Theoretical density (Mg/m³): 3.4
Energy of formation from the pure elements (meV/atom): -205

---

3.
Compound: La3AlCo3
Source: Alexandria
Functional: GGA-PBE
Structure: relaxed

Cell lengths 4.099, 5.517, 14.035 Å; angles 90.00, 90.00, 111.80 degrees
Atoms (fractional coordinates):
La 0.786 0.572 0.105
La 0.214 0.428 0.605
La 0.786 0.572 0.395
La 0.502 0.004 0.250
La 0.498 0.996 0.750
La 0.214 0.428 0.895
Co 0.926 0.852 0.586
Co 0.074 0.148 0.086
Co 0.184 0.367 0.250
Co 0.926 0.852 0.914
Co 0.816 0.633 0.750
Co 0.074 0.148 0.414
Al 0.500 0.000 0.500
Al 0.500 0.000 0.000

Results
Density of states at the Fermi level (states/eV/cell): 14.71
E_tot (eV/atom): -5.90
Space-group type: Cmcm (63)
Theoretical density (Mg/m³): 7.0
Energy of formation from the pure elements (meV/atom): -208

---

4.
Compound: NaNpZnCl6
Source: Alexandria
Functional: GGA-PBE
Structure: relaxed

Cell lengths 6.772, 6.772, 12.429 Å; angles 90.00, 90.00, 120.00 degrees
Atoms (fractional coordinates):
Cl 0.973 0.631 0.366
Cl 0.973 0.341 0.134
Cl 0.027 0.369 0.634
Cl 0.341 0.369 0.866
Cl 0.631 0.659 0.634
Cl 0.341 0.973 0.634
Cl 0.659 0.631 0.134
Cl 0.027 0.659 0.866
Cl 0.369 0.341 0.366
Cl 0.631 0.973 0.866
Cl 0.659 0.027 0.366
Cl 0.369 0.027 0.134
Zn 0.667 0.333 0.250
Zn 0.333 0.667 0.750
Na 0.000 0.000 0.500
Na 0.000 0.000 0.000
Np 0.667 0.333 0.750
Np 0.333 0.667 0.250

Results
Density of states at the Fermi level (states/eV/cell): 16.89
E_tot (eV/atom): -4.45
Space-group type: P-31c (163)
Formation energy without anion corrections (eV/atom): -1.496
Theoretical density (Mg/m³): 3.6

---

5.
Compound: Ce2LuPu
Source: Alexandria
Functional: GGA-PBE
Structure: relaxed

Cell lengths 3.378, 3.378, 9.557 Å; angles 90.00, 90.00, 90.00 degrees
Atoms (fractional coordinates):
Ce 0.000 0.000 0.233
Ce 0.000 0.000 0.767
Pu 0.500 0.500 0.000
Lu 0.500 0.500 0.500

Results
Density of states at the Fermi level (states/eV/cell): 10.40
E_tot (eV/atom): -7.58
Space-group type: P4/mmm (123)
Energy above the most stable polymorph in this dataset (eV/atom): 0.000
Theoretical density (Mg/m³): 10.6
Energy of formation from the pure elements (meV/atom): 104

---

6.
Compound: Pr4SmCu
Source: Alexandria
Functional: GGA-PBE
Structure: relaxed

Cell lengths 3.676, 3.676, 14.094 Å; angles 90.00, 90.00, 90.00 degrees
Atoms (fractional coordinates):
Pr 0.000 0.000 0.376
Pr 0.500 0.500 0.183
Pr 0.000 0.000 0.624
Pr 0.500 0.500 0.817
Cu 0.500 0.500 0.500
Sm 0.000 0.000 0.000

Results
Density of states at the Fermi level (states/eV/cell): 9.23
E_tot (eV/atom): -4.68
Space-group type: P4/mmm (123)
Theoretical density (Mg/m³): 6.8
Energy of formation from the pure elements (meV/atom): -22

---

7.
Compound: YSbRu2
Source: Alexandria
Functional: GGA-PBE
Structure: relaxed

Cell lengths 5.744, 5.744, 5.744 Å; angles 44.61, 44.61, 44.61 degrees
Atoms (fractional coordinates):
Sb 0.532 0.532 0.532
Ru 0.281 0.281 0.281
Ru 0.949 0.949 0.949
Y 0.738 0.738 0.738

Results
Density of states at the Fermi level (states/eV/cell): 4.18
E_tot (eV/atom): -7.55
Space-group type: R3m (160)
Formation energy without anion corrections (eV/atom): -0.260
Theoretical density (Mg/m³): 8.1

---

8.
Compound: Tm5CdHg4
Source: Alexandria
Functional: GGA-PBE
Structure: relaxed

Cell lengths 3.675, 3.675, 18.411 Å; angles 90.00, 90.00, 90.00 degrees
Atoms (fractional coordinates):
Cd 0.000 0.000 0.000
Tm 0.500 0.500 0.500
Tm 0.500 0.500 0.301
Tm 0.500 0.500 0.898
Tm 0.500 0.500 0.699
Tm 0.500 0.500 0.102
Hg 0.000 0.000 0.801
Hg 0.000 0.000 0.400
Hg 0.000 0.000 0.600
Hg 0.000 0.000 0.199

Results
Density of states at the Fermi level (states/eV/cell): 6.77
E_tot (eV/atom): -2.89
Space-group type: P4/mmm (123)
Theoretical density (Mg/m³): 11.8
Energy of formation from the pure elements (meV/atom): -446

---

9.
Compound: MoPt2Se
Source: Alexandria
Functional: GGA-PBE
Structure: relaxed

Cell lengths 4.165, 2.862, 5.874 Å; angles 68.21, 90.00, 90.00 degrees
Atoms (fractional coordinates):
Se 0.500 0.250 0.250
Pt 0.000 0.077 0.992
Pt 0.000 0.423 0.508
Mo 0.500 0.750 0.750

Results
Density of states at the Fermi level (states/eV/cell): 3.21
E_tot (eV/atom): -6.50
Space-group type: P2/m (10)
Formation energy without anion corrections (eV/atom): 0.097
Theoretical density (Mg/m³): 14.4

---

10.
Compound: La2Sm4Sn3H2
Source: Alexandria
Functional: GGA-PBE
Structure: relaxed

Cell lengths 4.832, 4.832, 13.299 Å; angles 100.47, 100.47, 90.00 degrees
Atoms (fractional coordinates):
Sm 0.081 0.581 0.163
Sm 0.919 0.419 0.837
Sm 0.581 0.081 0.163
Sm 0.419 0.919 0.837
Sn 0.829 0.829 0.657
Sn 0.000 0.000 0.000
Sn 0.171 0.171 0.343
H 0.599 0.599 0.198
H 0.401 0.401 0.802
La 0.301 0.301 0.603
La 0.699 0.699 0.397

Results
Density of states at the Fermi level (states/eV/cell): 11.58
E_tot (eV/atom): -4.91
Space-group type: I4/mmm (139)
Theoretical density (Mg/m³): 6.8

---

11.
Compound: CeH2Se
Source: Alexandria
Functional: GGA-PBE
Structure: relaxed

Cell lengths 5.135, 4.071, 4.651 Å; angles 115.95, 123.50, 90.00 degrees
Atoms (fractional coordinates):
H 0.983 0.983 0.966
H 0.154 0.654 0.308
Ce 0.839 0.339 0.677
Se 0.524 0.524 0.048

Results
E_tot (eV/atom): -4.57
Space-group type: Imm2 (44)
Energy above the most stable polymorph in this dataset (eV/atom): 0.339
Theoretical density (Mg/m³): 5.3

---

12.
Compound: Au2Br
Source: Alexandria
Functional: GGA-PBE
Structure: relaxed

Cell lengths 9.039, 9.039, 4.114 Å; angles 90.00, 90.00, 153.87 degrees
Atoms (fractional coordinates):
Au 0.558 0.442 0.750
Au 0.442 0.558 0.250
Au 0.938 0.062 0.750
Au 0.062 0.938 0.250
Br 0.675 0.325 0.250
Br 0.325 0.675 0.750

Results
Density of states at the Fermi level (states/eV/cell): 1.66
E_tot (eV/atom): -2.68
Space-group type: Cmcm (63)
Energy above the most stable polymorph in this dataset (eV/atom): 0.042
Formation energy without anion corrections (eV/atom): 0.065
Theoretical density (Mg/m³): 10.6